# 1
# CeIn2P2Rh7

A geometry-optimized CeIn2P2Rh7 structure (PBE, the Alexandria database).

Unit cell a=3.9730 b=3.9730 c=13.1398 alpha=97.31 beta=97.31 gamma=89.75
Element x y z (fractional)
Ce  0.0000  0.0000  0.0000
In  0.1390  0.1390  0.3618
In  0.8610  0.8610  0.6382
P  0.3900  0.3900  0.7401
P  0.6100  0.6100  0.2599
Rh  0.0741  0.5750  0.1720
Rh  0.3319  0.3319  0.5692
Rh  0.4250  0.9259  0.8280
Rh  0.5000  0.5000  0.0000
Rh  0.5750  0.0741  0.1720
Rh  0.6681  0.6681  0.4308
Rh  0.9259  0.4250  0.8280

Computed properties:
**Space-group type**: C2/m (12)
**Total magnetization**: 0.000 μB/atom

# 2
# Ce3InP2Rh9

A geometry-optimized Ce3InP2Rh9 structure (PBE, the Alexandria database).

Unit cell a=7.0886 b=7.0886 c=6.6349 alpha=90.00 beta=90.00 gamma=120.00
Element x y z (fractional)
Ce  0.0000  0.0000  0.0000
Ce  0.3333  0.6667  0.6796
Ce  0.6667  0.3333  0.3204
In  0.0000  0.0000  0.5000
P  0.3333  0.6667  0.1335
P  0.6667  0.3333  0.8665
Rh  0.0000  0.5000  0.0000
Rh  0.1974  0.3948  0.3635
Rh  0.1974  0.8026  0.3635
Rh  0.3948  0.1974  0.6365
Rh  0.5000  0.0000  0.0000
Rh  0.5000  0.5000  0.0000
Rh  0.6052  0.8026  0.3635
Rh  0.8026  0.1974  0.6365
Rh  0.8026  0.6052  0.6365

Computed properties:
**Space-group type**: P-3m1 (164)
**Total magnetization**: 0.064 μB/atom

# 3
# Ce4InP3Rh12

A geometry-optimized Ce4InP3Rh12 structure (PBE, the Alexandria database).

Unit cell a=7.9219 b=7.9219 c=7.9219 alpha=109.47 beta=109.47 gamma=109.47
Element x y z (fractional)
Ce  0.0000  0.0000  0.5000
Ce  0.0000  0.5000  0.0000
Ce  0.5000  0.0000  0.0000
Ce  0.5000  0.5000  0.5000
In  0.0000  0.0000  0.0000
P  0.0000  0.5000  0.5000
P  0.5000  0.0000  0.5000
P  0.5000  0.5000  0.0000
Rh  0.0000  0.2694  0.2694
Rh  0.0000  0.7306  0.7306
Rh  0.2500  0.5000  0.7500
Rh  0.2500  0.7500  0.5000
Rh  0.2694  0.0000  0.2694
Rh  0.2694  0.2694  0.0000
Rh  0.5000  0.2500  0.7500
Rh  0.5000  0.7500  0.2500
Rh  0.7306  0.0000  0.7306
Rh  0.7306  0.7306  0.0000
Rh  0.7500  0.2500  0.5000
Rh  0.7500  0.5000  0.2500

Computed properties:
**Space-group type**: Im-3m (229)
**Total magnetization**: 0.211 μB/atom

# 4
# CePaIn2

A geometry-optimized CePaIn2 structure (PBE, the Alexandria database).

Unit cell a=4.5931 b=4.5931 c=4.8318 alpha=90.00 beta=90.00 gamma=90.00
Element x y z (fractional)
Ce  0.0000  0.0000  0.0000
Pa  0.5000  0.5000  0.0000
In  0.0000  0.5000  0.5000
In  0.5000  0.0000  0.5000

Computed properties:
**Space-group type**: P4/mmm (123)
**Total magnetization**: 0.136 μB/atom
**Offset from the most stable computed form**: 33.7 meV/atom

# 5
# CePaIn2

A geometry-optimized CePaIn2 structure (PBE, the Alexandria database).

Unit cell a=3.2323 b=3.2323 c=9.7886 alpha=90.00 beta=90.00 gamma=90.00
Element x y z (fractional)
Ce  0.0000  0.0000  0.0000
Pa  0.0000  0.0000  0.5000
In  0.5000  0.5000  0.2525
In  0.5000  0.5000  0.7475

Computed properties:
**Space-group type**: P4/mmm (123)
**Total magnetization**: 0.009 μB/atom
**Offset from the most stable computed form**: 0.0 meV/atom

# 6
# CePa2In9

A geometry-optimized CePa2In9 structure (PBE, the Alexandria database).

Unit cell a=4.6717 b=4.6717 c=14.0180 alpha=90.00 beta=90.00 gamma=90.00
Element x y z (fractional)
Ce  0.0000  0.0000  0.0000
Pa  0.0000  0.0000  0.3350
Pa  0.0000  0.0000  0.6650
In  0.0000  0.5000  0.1686
In  0.0000  0.5000  0.5000
In  0.0000  0.5000  0.8314
In  0.5000  0.0000  0.1686
In  0.5000  0.0000  0.5000
In  0.5000  0.0000  0.8314
In  0.5000  0.5000  0.0000
In  0.5000  0.5000  0.3342
In  0.5000  0.5000  0.6658

Computed properties:
**Space-group type**: P4/mmm (123)
**Total magnetization**: 0.268 μB/atom

Number 1: final energy -79.66 eV/f.u., D(E_F) 6.2 states/eV per cell. Number 2: final energy -105.47 eV/f.u., D(E_F) 12.1 states/eV per cell. Number 3: final energy -139.95 eV/f.u., D(E_F) 33.9 states/eV per cell. Number 4: final energy -21.51 eV/f.u., D(E_F) 8.0 states/eV per cell. Number 5: final energy -21.64 eV/f.u., D(E_F) 8.3 states/eV per cell. Number 6: final energy -52.26 eV/f.u., D(E_F) 16.8 states/eV per cell.